VASP calculation (PBE) on a relaxed structure of NaSmTe2.

The space group is P4/mmm (No. 123) and the conventional cell measures 3.9659, 3.9659 and 9.3330 Å, with angles of 90.00, 90.00 and 90.00 degrees. The inequivalent atoms are Na at (0.0000, 0.0000, 0.0000), Sm at (0.5000, 0.5000, 0.5000) and Te at (0.0000, 0.0000, 0.3121).

For the total magnetization, the calculation gives 0.00 μB per formula unit. As for the total DFT energy (no corrections): -16.3 eV/f.u.